(1)
Below is a geometry-optimized Nb2HgIr structure, with properties calculated at the PBE level.

Lattice parameters (Å, degrees): 6.0248 6.0248 6.0248 101.95 101.95 125.87
Fractional positions:
Nb: 0.0806 0.6250 0.9556
Nb: 0.3750 0.3306 0.4556
Nb: 0.6694 0.1250 0.0444
Nb: 0.8750 0.9194 0.5444
Hg: 0.2500 0.7500 0.5000
Hg: 0.5000 0.5000 0.0000
Ir: 0.0000 0.0000 0.0000
Ir: 0.7500 0.2500 0.5000

Computed properties:
* energy of formation from the pure elements: 0.32 eV per atom
* calculated volume: 19.73 Å³/atom
* energy: -7.010 eV per atom

(2)
Below is a geometry-optimized NbHgIr structure, with properties calculated at the PBE level.

Lattice parameters (Å, degrees): 5.0326 2.9521 7.4241 90.00 103.56 90.00
Fractional positions:
Nb: 0.0000 0.0000 0.0000
Nb: 0.2795 0.0000 0.7186
Hg: 0.3252 0.5000 0.3554
Hg: 0.8269 0.0000 0.3652
Ir: 0.5149 0.5000 0.0138
Ir: 0.7661 0.5000 0.7063

Computed properties:
* energy above the most stable polymorph in this dataset: 68.2 meV per atom
* energy of formation from the pure elements: -0.04 eV per atom
* calculated volume: 17.87 Å³/atom
* energy: -6.449 eV per atom

(3)
Below is a geometry-optimized Rb2NbHgIr structure, with properties calculated at the PBE level.

Lattice parameters (Å, degrees): 6.3821 6.3821 5.1293 90.00 90.00 90.00
Fractional positions:
Rb: 0.0000 0.5000 0.0000
Rb: 0.5000 0.0000 0.0000
Nb: 0.0000 0.0000 0.5000
Hg: 0.5000 0.5000 0.0000
Ir: 0.5000 0.5000 0.5000

Computed properties:
* energy of formation from the pure elements: 1.59 eV per atom
* calculated volume: 41.78 Å³/atom
* energy: -2.642 eV per atom

(4)
Below is a geometry-optimized NbSiHg2Ir structure, with properties calculated at the PBE level.

Lattice parameters (Å, degrees): 4.7250 4.7250 4.7994 90.00 90.00 90.00
Fractional positions:
Nb: 0.0000 0.0000 0.0000
Si: 0.0000 0.0000 0.5000
Hg: 0.0000 0.5000 0.5000
Hg: 0.5000 0.0000 0.5000
Ir: 0.5000 0.5000 0.0000

Computed properties:
* ΔE_f (raw): 1.200 eV/atom
* calculated volume: 21.43 Å³/atom
* energy: -3.791 eV per atom

(5)
Below is a geometry-optimized NbTcHg2Ir structure, with properties calculated at the PBE level.

Lattice parameters (Å, degrees): 5.1207 5.1207 4.6579 90.00 90.00 90.00
Fractional positions:
Nb: 0.0000 0.0000 0.0000
Tc: 0.5000 0.5000 0.0000
Hg: 0.0000 0.5000 0.5000
Hg: 0.5000 0.0000 0.5000
Ir: 0.5000 0.5000 0.5000

Computed properties:
* energy of formation from the pure elements: 1.49 eV per atom
* calculated volume: 24.43 Å³/atom
* energy: -4.485 eV per atom

(6)
Below is a geometry-optimized Nb2HgIrW structure, with properties calculated at the PBE level.

Lattice parameters (Å, degrees): 4.7891 4.7891 4.9615 90.00 90.00 90.00
Fractional positions:
Nb: 0.0000 0.5000 0.0000
Nb: 0.5000 0.0000 0.0000
Hg: 0.0000 0.0000 0.5000
Ir: 0.0000 0.0000 0.0000
W: 0.5000 0.5000 0.5000

Computed properties:
* energy of formation from the pure elements: 1.62 eV per atom
* calculated volume: 22.76 Å³/atom
* energy: -6.833 eV per atom

(7)
Below is a geometry-optimized Nd6Hg5Ir structure, with properties calculated at the PBE level.

Lattice parameters (Å, degrees): 9.2470 9.2470 5.3288 106.70 106.70 48.88
Fractional positions:
Nd: 0.0783 0.6124 0.3449
Nd: 0.2258 0.7742 0.0000
Nd: 0.3876 0.9217 0.6551
Nd: 0.6124 0.0783 0.3449
Nd: 0.7742 0.2258 0.0000
Nd: 0.9217 0.3876 0.6551
Hg: 0.1865 0.1865 0.1869
Hg: 0.3333 0.3333 0.8325
Hg: 0.5000 0.5000 0.5000
Hg: 0.6667 0.6667 0.1675
Hg: 0.8135 0.8135 0.8131
Ir: 0.0000 0.0000 0.5000

Computed properties:
* energy of formation from the pure elements: -0.51 eV per atom
* calculated volume: 27.14 Å³/atom
* energy: -3.757 eV per atom

(8)
Below is a geometry-optimized Nd4HgIr2 structure, with properties calculated at the PBE level.

Lattice parameters (Å, degrees): 8.7175 8.7175 7.1769 107.82 107.82 119.43
Fractional positions:
Nd: 0.0223 0.9777 0.5000
Nd: 0.1859 0.6691 0.3480
Nd: 0.4408 0.5196 0.6514
Nd: 0.5196 0.4408 0.1514
Nd: 0.5689 0.9324 0.1791
Nd: 0.6691 0.1859 0.8480
Nd: 0.9324 0.5689 0.6791
Nd: 0.9777 0.0223 0.0000
Hg: 0.1299 0.3918 0.8556
Hg: 0.3918 0.1299 0.3556
Ir: 0.2940 0.9757 0.8510
Ir: 0.6366 0.8247 0.5355
Ir: 0.8247 0.6366 0.0355
Ir: 0.9757 0.2940 0.3510

Computed properties:
* energy of formation from the pure elements: -0.54 eV per atom
* calculated volume: 26.97 Å³/atom
* energy: -5.835 eV per atom